<i>
Here is a geometry-optimized Pm2OsBr structure from Alexandria. Energies are from PBE.

Output
Spin magnetization = 0.00 μB/f.u.

a b c (Å): 3.451 3.451 8.317
angles (deg): 90.00 90.00 90.00
Space group P4/mmm (No. 123)
Symmetry-distinct sites (fractional):
Pm (0.000, 0.000, 0.209)
Os (0.500, 0.500, 0.000)
Br (0.500, 0.500, 0.500)

<ii>
Here is a geometry-optimized Pm2OsBr structure from Alexandria. Energies are from PBE.

Output
Spin magnetization = 0.00 μB/f.u.

a b c (Å): 4.1153 4.1153 23.2449
angles (deg): 90.00 90.00 120.00
Space group R-3m (No. 166, hexagonal axes)
Symmetry-distinct sites (fractional):
Pm (0.0000, 0.0000, 0.2321)
Os (0.0000, 0.0000, 0.5000)
Br (0.0000, 0.0000, 0.0000)

Which of them is the most stable? Correct choice: <i>.

<i>
Here is a geometry-optimized Pr3OsBr3 structure from Alexandria. Energies are from PBE.

Output
Spin magnetization = 0.00 μB/f.u.

a b c (Å): 9.039 4.299 12.309
angles (deg): 90.00 92.48 90.00
Space group P2_1/m (No. 11)
Symmetry-distinct sites (fractional):
Pr (0.105, 0.250, 0.383)
Pr (0.121, 0.250, 0.839)
Pr (0.318, 0.750, 0.619)
Os (0.109, 0.250, 0.620)
Br (0.114, 0.250, 0.114)
Br (0.354, 0.750, 0.870)
Br (0.400, 0.750, 0.373)

<ii>
Here is a geometry-optimized Pr3OsBr3 structure from Alexandria. Energies are from PBE.

Output
Spin magnetization = 0.00 μB/f.u.

a b c (Å): 12.183 12.183 12.183
angles (deg): 90.00 90.00 90.00
Space group I4_132 (No. 214)
Symmetry-distinct sites (fractional):
Pr (0.109, 0.359, 0.125)
Os (0.125, 0.125, 0.125)
Br (0.121, 0.129, 0.625)

Which of them is the most stable? Correct choice: <i>.

<i>
Here is a geometry-optimized OsPtBr structure from Alexandria. Energies are from PBE.

Output
Spin magnetization = 0.00 μB/f.u.

a b c (Å): 3.0054 3.0054 6.6525
angles (deg): 90.00 90.00 120.00
Space group P3m1 (No. 156)
Symmetry-distinct sites (fractional):
Os (0.0000, 0.0000, 0.0000)
Pt (0.6667, 0.3333, 0.3026)
Br (0.3333, 0.6667, 0.6959)

<ii>
Here is a geometry-optimized OsPtBr structure from Alexandria. Energies are from PBE.

Output
Spin magnetization = 0.00 μB/f.u.

a b c (Å): 2.986 2.986 13.190
angles (deg): 90.00 90.00 90.00
Space group I4mm (No. 107)
Symmetry-distinct sites (fractional):
Os (0.000, 0.000, 0.000)
Pt (0.000, 0.000, 0.618)
Br (0.000, 0.000, 0.360)

<iii>
Here is a geometry-optimized OsPtBr structure from Alexandria. Energies are from PBE.

Output
Spin magnetization = 0.00 μB/f.u.

a b c (Å): 2.847 5.245 14.073
angles (deg): 90.00 90.00 90.00
Space group Fmm2 (No. 42)
Symmetry-distinct sites (fractional):
Os (0.000, 0.000, 0.000)
Pt (0.000, 0.000, 0.658)
Br (0.000, 0.000, 0.350)

Which of them is the most stable? Correct choice: <i>.

<i>
Here is a geometry-optimized OsPtBr structure from Alexandria. Energies are from PBE.

Output
Spin magnetization = 1.02 μB/f.u.

a b c (Å): 3.7775 3.7775 5.8565
angles (deg): 90.00 90.00 120.00
Space group P3m1 (No. 156)
Symmetry-distinct sites (fractional):
Os (0.0000, 0.0000, 0.0000)
Pt (0.6667, 0.3333, 0.1978)
Br (0.3333, 0.6667, 0.7485)

<ii>
Here is a geometry-optimized OsPtBr structure from Alexandria. Energies are from PBE.

Output
Spin magnetization = 0.00 μB/f.u.

a b c (Å): 6.155 6.155 6.155
angles (deg): 90.00 90.00 90.00
Space group F-43m (No. 216)
Symmetry-distinct sites (fractional):
Os (0.000, 0.000, 0.000)
Pt (0.250, 0.250, 0.250)
Br (0.250, 0.250, 0.750)

Which of them is the most stable? Correct choice: <i>.

<i>
Here is a geometry-optimized OsPtBr2 structure from Alexandria. Energies are from PBE.

Output
Spin magnetization = 0.00 μB/f.u.

a b c (Å): 2.966 5.586 9.066
angles (deg): 90.00 90.00 90.00
Space group Cmmm (No. 65)
Symmetry-distinct sites (fractional):
Os (0.000, 0.000, 0.000)
Pt (0.000, 0.000, 0.500)
Br (0.000, 0.500, 0.229)

<ii>
Here is a geometry-optimized OsPtBr2 structure from Alexandria. Energies are from PBE.

Output
Spin magnetization = 2.01 μB/f.u.

a b c (Å): 6.508 3.756 8.374
angles (deg): 90.00 104.19 90.00
Space group Cm (No. 8)
Symmetry-distinct sites (fractional):
Os (0.000, 0.000, 0.000)
Pt (0.384, 0.000, 0.161)
Br (0.107, 0.500, 0.810)
Br (0.282, 0.500, 0.366)

Which of them is the most stable? Correct choice: <ii>.

<i>
Here is a geometry-optimized OsPtBr2 structure from Alexandria. Energies are from PBE.

Output
Spin magnetization = 0.37 μB/f.u.

a b c (Å): 5.934 8.896 3.172
angles (deg): 90.00 117.81 90.00
Space group C2/m (No. 12)
Symmetry-distinct sites (fractional):
Os (0.000, 0.000, 0.000)
Pt (0.000, 0.500, 0.000)
Br (0.250, 0.250, 0.000)

<ii>
Here is a geometry-optimized OsPtBr2 structure from Alexandria. Energies are from PBE.

Output
Spin magnetization = 0.00 μB/f.u.

a b c (Å): 3.001 3.529 8.470
angles (deg): 90.00 90.06 90.00
Space group Pm (No. 6)
Symmetry-distinct sites (fractional):
Os (0.000, 0.000, 0.000)
Pt (0.500, 0.500, 0.166)
Br (0.500, 0.000, 0.389)
Br (0.999, 0.500, 0.799)

<iii>
Here is a geometry-optimized OsPtBr2 structure from Alexandria. Energies are from PBE.

Output
Spin magnetization = 0.00 μB/f.u.

a b c (Å): 2.895 5.521 10.396
angles (deg): 90.00 90.00 90.00
Space group Cmm2 (No. 35)
Symmetry-distinct sites (fractional):
Os (0.000, 0.000, 0.000)
Pt (0.000, 0.500, 0.791)
Br (0.000, 0.000, 0.559)
Br (0.000, 0.500, 0.200)

<iv>
Here is a geometry-optimized OsPtBr2 structure from Alexandria. Energies are from PBE.

Output
Spin magnetization = 0.00 μB/f.u.

a b c (Å): 2.976 4.408 5.669
angles (deg): 90.00 90.00 90.00
Space group Pmmm (No. 47)
Symmetry-distinct sites (fractional):
Os (0.000, 0.000, 0.000)
Pt (0.500, 0.000, 0.500)
Br (0.000, 0.500, 0.500)
Br (0.500, 0.500, 0.000)

Which of them is the most stable? Correct choice: <ii>.

<i>
Here is a geometry-optimized OsPtBr2 structure from Alexandria. Energies are from PBE.

Output
Spin magnetization = 0.00 μB/f.u.

a b c (Å): 6.223 7.370 3.108
angles (deg): 90.00 90.00 90.00
Space group Cmmm (No. 65)
Symmetry-distinct sites (fractional):
Os (0.000, 0.000, 0.000)
Pt (0.000, 0.500, 0.000)
Br (0.250, 0.250, 0.500)

<ii>
Here is a geometry-optimized OsPtBr2 structure from Alexandria. Energies are from PBE.

Output
Spin magnetization = 0.00 μB/f.u.

a b c (Å): 12.784 3.514 4.557
angles (deg): 90.00 100.84 90.00
Space group C2/m (No. 12)
Symmetry-distinct sites (fractional):
Os (0.000, 0.000, 0.000)
Pt (0.000, 0.500, 0.500)
Br (0.136, 0.500, 0.187)

Which of them is the most stable? Correct choice: <ii>.

<i>
Here is a geometry-optimized OsPtBr2 structure from Alexandria. Energies are from PBE.

Output
Spin magnetization = 0.53 μB/f.u.

a b c (Å): 2.8670 2.8670 35.0174
angles (deg): 90.00 90.00 120.00
Space group R-3m (No. 166, hexagonal axes)
Symmetry-distinct sites (fractional):
Os (0.0000, 0.0000, 0.0000)
Pt (0.0000, 0.0000, 0.5000)
Br (0.0000, 0.0000, 0.0681)

<ii>
Here is a geometry-optimized OsPtBr2 structure from Alexandria. Energies are from PBE.

Output
Spin magnetization = 0.00 μB/f.u.

a b c (Å): 4.418 4.418 7.268
angles (deg): 90.00 90.00 90.00
Space group I4/mmm (No. 139)
Symmetry-distinct sites (fractional):
Os (0.000, 0.000, 0.000)
Pt (0.000, 0.000, 0.500)
Br (0.000, 0.500, 0.250)

<iii>
Here is a geometry-optimized OsPtBr2 structure from Alexandria. Energies are from PBE.

Output
Spin magnetization = 0.00 μB/f.u.

a b c (Å): 3.083 3.083 7.620
angles (deg): 90.00 90.00 90.00
Space group P4/mmm (No. 123)
Symmetry-distinct sites (fractional):
Os (0.000, 0.000, 0.000)
Pt (0.000, 0.000, 0.500)
Br (0.500, 0.500, 0.222)

<iv>
Here is a geometry-optimized OsPtBr2 structure from Alexandria. Energies are from PBE.

Output
Spin magnetization = 0.00 μB/f.u.

a b c (Å): 6.574 6.574 6.574
angles (deg): 90.00 90.00 90.00
Space group Fm-3m (No. 225)
Symmetry-distinct sites (fractional):
Os (0.000, 0.000, 0.000)
Pt (0.000, 0.000, 0.500)
Br (0.250, 0.250, 0.250)

Which of them is the most stable? Correct choice: <i>.

<i>
Here is a geometry-optimized Os3PtBr structure from Alexandria. Energies are from PBE.

Output
Spin magnetization = 7.99 μB/f.u.

a b c (Å): 4.922 4.922 4.922
angles (deg): 90.00 90.00 90.00
Space group Pm-3m (No. 221)
Symmetry-distinct sites (fractional):
Os (0.000, 0.000, 0.500)
Pt (0.000, 0.000, 0.000)
Br (0.500, 0.500, 0.500)

<ii>
Here is a geometry-optimized Os3PtBr structure from Alexandria. Energies are from PBE.

Output
Spin magnetization = 1.80 μB/f.u.

a b c (Å): 4.510 4.510 4.510
angles (deg): 90.00 90.00 90.00
Space group Pm-3m (No. 221)
Symmetry-distinct sites (fractional):
Os (0.000, 0.000, 0.500)
Pt (0.500, 0.500, 0.500)
Br (0.000, 0.000, 0.000)

Which of them is the most stable? Correct choice: <ii>.

<i>
Here is a geometry-optimized OsPt2Br2 structure from Alexandria. Energies are from PBE.

Output
Spin magnetization = 0.00 μB/f.u.

a b c (Å): 6.498 6.498 4.800
angles (deg): 90.00 90.00 90.00
Space group P4/mbm (No. 127)
Symmetry-distinct sites (fractional):
Os (0.000, 0.000, 0.000)
Pt (0.237, 0.263, 0.500)
Br (0.166, 0.334, 0.000)

<ii>
Here is a geometry-optimized OsPt2Br2 structure from Alexandria. Energies are from PBE.

Output
Spin magnetization = 3.08 μB/f.u.

a b c (Å): 3.493 3.493 20.898
angles (deg): 90.00 90.00 90.00
Space group I4/mmm (No. 139)
Symmetry-distinct sites (fractional):
Os (0.000, 0.000, 0.000)
Pt (0.000, 0.500, 0.250)
Br (0.000, 0.000, 0.423)

Which of them is the most stable? Correct choice: <i>.

<i>
Here is a geometry-optimized RbOsSe2Br structure from Alexandria. Energies are from PBE.

Output
Spin magnetization = 8.00 μB/f.u.

a b c (Å): 6.212 6.212 6.162
angles (deg): 90.00 90.00 90.00
Space group P4/mmm (No. 123)
Symmetry-distinct sites (fractional):
Rb (0.000, 0.000, 0.000)
Os (0.500, 0.500, 0.500)
Se (0.000, 0.500, 0.000)
Br (0.000, 0.000, 0.500)

<ii>
Here is a geometry-optimized RbOsSe2Br structure from Alexandria. Energies are from PBE.

Output
Spin magnetization = 0.00 μB/f.u.

a b c (Å): 4.865 4.865 5.789
angles (deg): 90.00 90.00 90.00
Space group P4/mmm (No. 123)
Symmetry-distinct sites (fractional):
Rb (0.000, 0.000, 0.000)
Os (0.500, 0.500, 0.500)
Se (0.000, 0.500, 0.500)
Br (0.500, 0.500, 0.000)

Which of them is the most stable? Correct choice: <ii>.